{
  "formula": "Cd2SiH2",
  "functional": "SCAN",
  "state": "PBEsol geometry",
  "cell": [[4.577, 0.010, 0.015], [-2.238, 3.993, -0.015], [-2.238, -1.378, 3.748]],
  "species": ["H", "H", "Si", "Cd", "Cd"],
  "frac_coords": [[0.000, 0.561, 0.561], [0.000, 0.439, 0.439], [0.000, 0.000, 0.000], [0.500, 0.750, 0.250], [0.500, 0.250, 0.750]],
  "de_polymorph_ev_per_fu": 0.00,
  "total_energy_ev_per_atom": -15.28
}